Entry one
DFT (PBE) results for Ca3CdP after structural relaxation.

abc: 15.1289 4.3264 11.6251
angles: 90.00 124.23 90.00
Space group C2/m (No. 12)
Inequivalent atoms, fractional coordinates:
Ca (0.1271, 0.0000, 0.4506) x4
Ca (0.1360, 0.5000, 0.1829) x4
Ca (0.1614, 0.5000, 0.8205) x4
Cd (0.0591, 0.0000, 0.9167) x4
P (0.2279, 0.5000, 0.6383) x4


Entry two
DFT (PBE) results for Ca3CdP after structural relaxation.

abc: 13.3466 12.9383 7.1244
angles: 90.00 105.70 90.00
Space group C2/c (No. 15)
Inequivalent atoms, fractional coordinates:
Ca (0.0689, 0.1226, 0.0666) x8
Ca (0.1709, 0.2868, 0.6390) x8
Ca (0.2018, 0.4426, 0.1360) x8
Cd (0.0000, 0.3550, 0.2500) x4
Cd (0.0000, 0.4214, 0.7500) x4
P (0.1557, 0.0837, 0.4778) x8


Entry three
DFT (PBE) results for Ca3CdP after structural relaxation.

abc: 7.6482 21.3007 5.6186
angles: 90.00 90.00 90.00
Space group Cmcm (No. 63)
Inequivalent atoms, fractional coordinates:
Ca (0.0000, 0.0000, 0.0000) x4
Ca (0.2227, 0.1776, 0.2500) x8
Cd (0.0000, 0.1241, 0.7500) x4
P (0.0000, 0.2424, 0.7500) x4


Entry four
DFT (PBE) results for Ca3CdP after structural relaxation.

abc: 12.9781 13.7967 6.9889
angles: 90.00 104.63 90.00
Space group C2/c (No. 15)
Inequivalent atoms, fractional coordinates:
Ca (0.1097, 0.0814, 0.1283) x8
Ca (0.1268, 0.4012, 0.4869) x8
Ca (0.1290, 0.3245, 0.0055) x8
Cd (0.1326, 0.1577, 0.6558) x8
P (0.0000, 0.2423, 0.2500) x4
P (0.0000, 0.4548, 0.7500) x4


It comes down to entry one, which is 37 meV per atom more stable than the next structure.


Entry one
DFT (PBE) results for Ca3CdP after structural relaxation.

abc: 3.9532 7.1665 10.3268
angles: 90.00 101.07 90.00
Space group P2_1/m (No. 11)
Inequivalent atoms, fractional coordinates:
Ca (0.0980, 0.0200, 0.1957) x4
Ca (0.2698, 0.2500, 0.5391) x2
Cd (0.4875, 0.2500, 0.9757) x2
P (0.3277, 0.7500, 0.6561) x2


Entry two
DFT (PBE) results for Ca3CdP after structural relaxation.

abc: 7.4243 7.4243 21.0921
angles: 90.00 90.00 120.00
Space group R-3 (No. 148, hexagonal axes)
Inequivalent atoms, fractional coordinates:
Ca (0.0061, 0.3725, 0.4249) x18
Cd (0.0000, 0.0000, 0.3521) x6
P (0.0000, 0.0000, 0.1627) x6


It comes down to entry one, which is 35 meV per atom more stable than the next structure.


Entry one
DFT (PBE) results for Ca3CdP after structural relaxation.

abc: 5.4921 5.4921 5.4921
angles: 90.00 90.00 90.00
Space group Pm-3m (No. 221)
Inequivalent atoms, fractional coordinates:
Ca (0.0000, 0.0000, 0.5000) x3
Cd (0.5000, 0.5000, 0.5000) x1
P (0.0000, 0.0000, 0.0000) x1


Entry two
DFT (PBE) results for Ca3CdP after structural relaxation.

abc: 9.8229 7.0038 9.8660
angles: 90.00 113.29 90.00
Space group P2_1/c (No. 14)
Inequivalent atoms, fractional coordinates:
Ca (0.0986, 0.0610, 0.3720) x4
Ca (0.2025, 0.5830, 0.5538) x4
Ca (0.3734, 0.1018, 0.7679) x4
Cd (0.4184, 0.6676, 0.9267) x4
P (0.0804, 0.2480, 0.6170) x4


It comes down to entry two, which is 77 meV per atom more stable than the next structure.


Entry one
DFT (PBE) results for Ca3CdP after structural relaxation.

abc: 4.8074 4.8074 17.7279
angles: 90.00 90.00 120.00
Space group P6_3/mmc (No. 194)
Inequivalent atoms, fractional coordinates:
Ca (0.0000, 0.0000, 0.2500) x2
Ca (0.3333, 0.6667, 0.0689) x4
Cd (0.3333, 0.6667, 0.2500) x2
P (0.0000, 0.0000, 0.0000) x2


Entry two
DFT (PBE) results for Ca3CdP after structural relaxation.

abc: 14.3000 14.3000 14.3000
angles: 90.00 90.00 90.00
Space group Fd-3m (No. 227, origin choice 2)
Inequivalent atoms, fractional coordinates:
Ca (0.0908, 0.3750, 0.3750) x48
Cd (0.0000, 0.0000, 0.5000) x16
P (0.0000, 0.0000, 0.0000) x16


Entry three
DFT (PBE) results for Ca3CdP after structural relaxation.

abc: 5.5810 12.5610 8.7610
angles: 90.00 90.00 90.00
Space group Cmcm (No. 63)
Inequivalent atoms, fractional coordinates:
Ca (0.0000, 0.0649, 0.2500) x4
Ca (0.0000, 0.3600, 0.0455) x8
Cd (0.0000, 0.2063, 0.7500) x4
P (0.0000, 0.4593, 0.7500) x4


Entry four
DFT (PBE) results for Ca3CdP after structural relaxation.

abc: 14.8034 4.0325 9.5341
angles: 90.00 92.84 90.00
Space group C2/m (No. 12)
Inequivalent atoms, fractional coordinates:
Ca (0.0469, 0.0000, 0.1437) x4
Ca (0.0922, 0.5000, 0.6208) x4
Ca (0.2380, 0.0000, 0.8422) x4
Cd (0.1873, 0.0000, 0.4137) x4
P (0.1118, 0.5000, 0.9297) x4


It comes down to entry three, which is 24 meV per atom more stable than the next structure.


Entry one
DFT (PBE) results for Ca3CdP after structural relaxation.

abc: 6.3187 5.5930 8.4789
angles: 90.00 90.00 90.00
Space group Pmma (No. 51)
Inequivalent atoms, fractional coordinates:
Ca (0.0000, 0.0000, 0.0000) x2
Ca (0.2500, 0.0000, 0.3757) x2
Ca (0.2500, 0.5000, 0.7248) x2
Cd (0.2500, 0.5000, 0.1277) x2
P (0.2500, 0.0000, 0.7058) x2


Entry two
DFT (PBE) results for Ca3CdP after structural relaxation.

abc: 4.2566 3.8420 17.7120
angles: 90.00 90.00 90.00
Space group Amm2 (No. 38)
Inequivalent atoms, fractional coordinates:
Ca (0.0000, 0.0000, 0.0000) x2
Ca (0.0000, 0.0000, 0.2071) x2
Ca (0.5000, 0.0000, 0.3639) x2
Cd (0.5000, 0.0000, 0.5916) x2
P (0.0000, 0.0000, 0.8343) x2


Entry three
DFT (PBE) results for Ca3CdP after structural relaxation.

abc: 8.8234 8.8234 10.2679
angles: 90.00 90.00 120.00
Space group R3m (No. 160, hexagonal axes)
Inequivalent atoms, fractional coordinates:
Ca (0.1701, 0.3403, 0.0000) x9
Cd (0.0000, 0.0000, 0.1587) x3
P (0.0000, 0.0000, 0.4391) x3


Entry four
DFT (PBE) results for Ca3CdP after structural relaxation.

abc: 4.5851 4.5851 8.3734
angles: 90.00 90.00 90.00
Space group P4mm (No. 99)
Inequivalent atoms, fractional coordinates:
Ca (0.0000, 0.0000, 0.0000) x1
Ca (0.0000, 0.5000, 0.6640) x2
Cd (0.0000, 0.0000, 0.3798) x1
P (0.5000, 0.5000, 0.8706) x1


It comes down to entry two, which is 40 meV per atom more stable than the next structure.


Entry one
DFT (PBE) results for Ca3CdP after structural relaxation.

abc: 12.7091 5.6316 9.1473
angles: 90.00 106.14 90.00
Space group C2/m (No. 12)
Inequivalent atoms, fractional coordinates:
Ca (0.0894, 0.0000, 0.2058) x4
Ca (0.1389, 0.5000, 0.9208) x4
Ca (0.1670, 0.0000, 0.6315) x4
Cd (0.0814, 0.5000, 0.4142) x4
P (0.1361, 0.0000, 0.9223) x4


Entry two
DFT (PBE) results for Ca3CdP after structural relaxation.

abc: 15.6881 4.2554 9.5265
angles: 90.00 95.35 90.00
Space group C2/m (No. 12)
Inequivalent atoms, fractional coordinates:
Ca (0.0428, 0.0000, 0.3055) x4
Ca (0.1482, 0.5000, 0.9527) x4
Ca (0.2479, 0.5000, 0.3264) x4
Cd (0.0919, 0.5000, 0.5753) x4
P (0.1837, 0.0000, 0.1454) x4


Entry three
DFT (PBE) results for Ca3CdP after structural relaxation.

abc: 7.3827 10.1777 8.0363
angles: 90.00 90.00 90.00
Space group Pnma (No. 62)
Inequivalent atoms, fractional coordinates:
Ca (0.0963, 0.2500, 0.2321) x4
Ca (0.1484, 0.0833, 0.6696) x8
Cd (0.0000, 0.0000, 0.0000) x4
P (0.1393, 0.7500, 0.4585) x4


It comes down to entry two, which is 13 meV per atom more stable than the next structure.


Entry one
DFT (PBE) results for CaCdP3 after structural relaxation.

abc: 4.9956 4.9956 4.9956
angles: 90.00 90.00 90.00
Space group Pm-3m (No. 221)
Inequivalent atoms, fractional coordinates:
Ca (0.0000, 0.0000, 0.0000) x1
Cd (0.5000, 0.5000, 0.5000) x1
P (0.0000, 0.5000, 0.5000) x3


Entry two
DFT (PBE) results for CaCdP3 after structural relaxation.

abc: 5.1820 5.1820 5.1820
angles: 90.00 90.00 90.00
Space group Pm-3m (No. 221)
Inequivalent atoms, fractional coordinates:
Ca (0.0000, 0.0000, 0.0000) x1
Cd (0.5000, 0.5000, 0.5000) x1
P (0.0000, 0.0000, 0.5000) x3


It comes down to entry one, which is 476 meV per atom more stable than the next structure.